# 1
Below is a relaxed MgPF2 crystal, with properties calculated at the GGA-PBE level.

Cell lengths 9.684, 9.684, 9.684 Å; angles 17.20, 17.20, 17.20 degrees
Fractional positions:
1 Mg 0.000 0.000 0.000
2 P 0.500 0.500 0.500
3 F 0.369 0.369 0.369
4 F 0.631 0.631 0.631

Output
crystal system	trigonal
raw formation energy	-2.1164	eV/atom
relative energy among the computed polymorphs	0.0	meV/atom
density of states at the Fermi level	1.0	states/eV/cell

***

# 2
Below is a relaxed NaReH3 crystal, with properties calculated at the GGA-PBE level.

Cell lengths 3.421, 3.421, 3.421 Å; angles 90.00, 90.00, 90.00 degrees
Fractional positions:
1 Na 0.000 0.000 0.000
2 Re 0.500 0.500 0.500
3 H 0.000 0.000 0.500
4 H 0.000 0.500 0.000
5 H 0.500 0.000 0.000

Output
crystal system	cubic
relative energy among the computed polymorphs	1035.1	meV/atom
density of states at the Fermi level	2.8	states/eV/cell

***

# 3
Below is a relaxed V3CrMo4 crystal, with properties calculated at the GGA-PBE level.

Cell lengths 3.060, 3.060, 12.248 Å; angles 90.00, 90.00, 90.00 degrees
Fractional positions:
1 V 0.000 0.000 0.000
2 V 0.000 0.000 0.251
3 V 0.000 0.000 0.749
4 Cr 0.000 0.000 0.500
5 Mo 0.500 0.500 0.127
6 Mo 0.500 0.500 0.378
7 Mo 0.500 0.500 0.622
8 Mo 0.500 0.500 0.873

Output
crystal system	tetragonal
density of states at the Fermi level	4.1	states/eV/cell
energy of formation	-0.099	eV/atom

***

# 4
Below is a relaxed La3Te6As crystal, with properties calculated at the GGA-PBE level.

Cell lengths 9.865, 9.865, 7.836 Å; angles 90.00, 90.00, 102.07 degrees
Fractional positions:
1 La 0.101 0.899 0.500
2 La 0.221 0.414 0.410
3 La 0.414 0.221 0.910
4 La 0.586 0.779 0.410
5 La 0.779 0.586 0.910
6 La 0.899 0.101 0.000
7 Te 0.066 0.591 0.685
8 Te 0.130 0.192 0.704
9 Te 0.192 0.130 0.204
10 Te 0.280 0.720 0.242
11 Te 0.409 0.934 0.685
12 Te 0.468 0.532 0.702
13 Te 0.532 0.468 0.202
14 Te 0.591 0.066 0.185
15 Te 0.720 0.280 0.742
16 Te 0.808 0.870 0.704
17 Te 0.870 0.808 0.204
18 Te 0.934 0.409 0.185
19 As 0.304 0.696 0.853
20 As 0.696 0.304 0.353

Output
crystal system	orthorhombic
raw formation energy	-1.1507	eV/atom